Record 1
# FeP2Pb

FeP2Pb after structural relaxation (PBE-GGA, Alexandria via LeMat-Bulk).

The space group is P4/mmm (No. 123) and the conventional cell measures 2.993, 2.993 and 7.734 Å, with angles of 90.00, 90.00 and 90.00 degrees. Symmetry generates all atoms from Fe at (0.000, 0.000, 0.000), P at (0.500, 0.500, 0.160) and Pb at (0.000, 0.000, 0.500).

The calculation puts the total DFT energy (no corrections) at -22.5 eV per formula unit. Its formation energy is 116 meV/atom.

---

Record 2
# NbWI2N

NbWI2N after structural relaxation (PBE-GGA, Alexandria via LeMat-Bulk).

The space group is P4/mmm (No. 123) and the conventional cell measures 5.589, 5.589 and 3.816 Å, with angles of 90.00, 90.00 and 90.00 degrees. Symmetry generates all atoms from Nb at (0.000, 0.000, 0.000), W at (0.500, 0.500, 0.500), I at (0.000, 0.500, 0.500) and N at (0.500, 0.500, 0.000).

The calculation puts the total DFT energy (no corrections) at -29.7 eV per formula unit. The relative energy among the computed polymorphs is 0.0 meV per atom.

---

Record 3
# KZr2Pb

KZr2Pb after structural relaxation (PBE-GGA, Alexandria via LeMat-Bulk).

The space group is P4/mmm (No. 123) and the conventional cell measures 3.278, 3.278 and 11.026 Å, with angles of 90.00, 90.00 and 90.00 degrees. Symmetry generates all atoms from K at (0.000, 0.000, 0.000), Zr at (0.500, 0.500, 0.309) and Pb at (0.000, 0.000, 0.500).

The calculation puts the total DFT energy (no corrections) at -20.1 eV per formula unit. The relative energy among the computed polymorphs is 353.1 meV per atom. Its formation energy is 456 meV/atom.

---

Record 4
# GdAsAu2

GdAsAu2 after structural relaxation (PBE-GGA, Alexandria via LeMat-Bulk).

The space group is P4/mmm (No. 123) and the conventional cell measures 4.073, 4.073 and 5.060 Å, with angles of 90.00, 90.00 and 90.00 degrees. Symmetry generates all atoms from Gd at (0.000, 0.000, 0.000), As at (0.500, 0.500, 0.000) and Au at (0.000, 0.500, 0.500).

The calculation puts the total DFT energy (no corrections) at -27.9 eV per formula unit. Its formation energy is -648 meV/atom.